Li3PrNd PBE relaxed; crystal system = triclinic; total magnetic moment = 0.38 Bohr magnetons per cell; VASP energy = -2.815 eV per atom; space-group type = No. 1
1.0
3.5537 0.0000 0.0000
1.6682 6.1514 0.0000
1.6512 2.7446 5.6894
Li Pr Nd
3 1 1
direct
0.0000 0.0000 0.0000
0.0179 0.3559 0.6066
0.3704 0.3371 0.9183
0.6346 0.5594 0.1705
0.7421 0.9036 0.5479